The following is a PBE+U calculation of a relaxed Na2PmW3O12 crystal, from the Alexandria database.

For the calculated volume, the calculation gives 314.6 Å³/f.u. For the electronic total energy, the calculation gives -125.85 eV per formula unit.

Cell: 7.5344 7.5344 19.1985 Å, 90.00 90.00 120.00°
Space group R-3m (No. 166, hexagonal axes)
Asymmetric unit:
Na (0.0000, 0.0000, 0.1987)
Pm (0.0000, 0.0000, 0.5000)
W (0.0000, 0.5000, 0.0000)
O (0.0290, 0.5145, 0.0992)
O (0.0933, 0.5466, 0.3414)